# InGePd

An optimized crystal structure of InGePd (PBE, the Alexandria database).

Properties
E_tot	-4.285	eV per atom
formation energy	-102	meV per atom
total magnetization	0.00	μB/cell

abc: 4.3360 4.3360 3.6877
angles: 90.00 90.00 120.00
Space group P3m1 (No. 156)
Symmetry-distinct sites (fractional):
In (0.0000, 0.0000, 0.0000) (multiplicity 1)
Ge (0.3333, 0.6667, 0.4811) (multiplicity 1)
Pd (0.6667, 0.3333, 0.5690) (multiplicity 1)